1.
This record from Alexandria via LeMat-Bulk describes a relaxed structure of Nd2YS4. The functional is PBE.

POSCAR file:
```
Nd2YS4
1.0
1.939 -6.728 0.000
1.939 6.728 0.000
0.000 0.000 13.435
Nd Y S
4 2 8
Direct
0.129 0.871 0.572
0.129 0.871 0.928
0.871 0.129 0.072
0.871 0.129 0.428
0.372 0.628 0.750
0.628 0.372 0.250
0.018 0.982 0.750
0.220 0.780 0.126
0.220 0.780 0.374
0.500 0.500 0.000
0.500 0.500 0.500
0.780 0.220 0.626
0.780 0.220 0.874
0.982 0.018 0.250
```

Results
For the formation energy from raw total energies, the calculation gives -2.008 eV/atom. Its volume is 350.6 Å³ per cell. As for the space group: Cmcm. Its energy above the most stable polymorph in this dataset is 10 meV/atom.

=====

2.
This record from Alexandria via LeMat-Bulk describes a relaxed structure of Nd5Y3S8. The functional is PBE.

POSCAR file:
```
Nd5Y3S8
1.0
4.005 2.313 6.590
-4.005 2.313 6.590
0.000 -4.625 6.590
Nd Y S
5 3 8
Direct
0.000 0.000 0.000
0.000 0.500 0.500
0.500 0.000 0.500
0.500 0.500 0.000
0.500 0.500 0.500
0.000 0.000 0.500
0.000 0.500 0.000
0.500 0.000 0.000
0.240 0.750 0.750
0.245 0.245 0.245
0.250 0.250 0.760
0.250 0.760 0.250
0.750 0.240 0.750
0.750 0.750 0.240
0.755 0.755 0.755
0.760 0.250 0.250
```

Results
For the formation energy from raw total energies, the calculation gives -2.011 eV/atom. Its volume is 366.3 Å³ per cell. As for the space group: R-3m.

=====

3.
This record from Alexandria via LeMat-Bulk describes a relaxed structure of Nd2YS4. The functional is PBE.

POSCAR file:
```
Nd2YS4
1.0
-4.002 4.064 5.602
4.002 -4.064 5.602
4.002 4.064 -5.602
Nd Y S
4 2 8
Direct
0.000 0.000 0.000
0.500 0.000 0.000
0.500 0.000 0.500
0.500 0.500 0.500
0.000 0.000 0.500
0.000 0.500 0.000
0.238 0.746 0.492
0.246 0.241 0.495
0.246 0.254 0.992
0.246 0.751 0.005
0.754 0.249 0.995
0.754 0.746 0.008
0.754 0.759 0.505
0.762 0.254 0.508
```

Results
For the formation energy from raw total energies, the calculation gives -2.018 eV/atom. Its volume is 364.5 Å³ per cell. As for the space group: Imma. Its energy above the most stable polymorph in this dataset is 0 meV/atom.